PBE with a Hubbard U CrFeIrO6, relaxed; SG = P-31c (163); electronic total energy = -6.913 eV/atom; M_tot = 5.3 μB per formula unit
1.0
5.012 0.000 0.000
-2.506 4.340 0.000
0.000 0.000 8.863
Cr Fe O Ir
2 2 12 2
direct
0.333 0.667 0.250 Cr
0.667 0.333 0.750 Cr
0.000 0.000 0.500 Fe
0.000 0.000 0.000 Fe
0.995 0.339 0.128 O
0.656 0.661 0.628 O
0.661 0.656 0.128 O
0.005 0.661 0.872 O
0.344 0.005 0.128 O
0.344 0.339 0.372 O
0.656 0.995 0.872 O
0.005 0.344 0.628 O
0.339 0.344 0.872 O
0.995 0.656 0.372 O
0.339 0.995 0.628 O
0.661 0.005 0.372 O
0.333 0.667 0.750 Ir
0.667 0.333 0.250 Ir


PBE with a Hubbard U Cr2FeIrO8, relaxed; SG = Cmmm (65); electronic total energy = -7.063 eV/atom; M_tot = 8.6 μB per formula unit
1.0
4.563 -0.052 -0.003
-0.020 4.561 -0.005
0.004 0.007 6.119
O Cr Ir Fe
8 2 1 1
direct
0.803 0.197 0.759 O
0.197 0.803 0.241 O
0.803 0.197 0.241 O
0.306 0.305 0.500 O
0.197 0.803 0.759 O
0.698 0.699 0.000 O
0.302 0.301 0.000 O
0.694 0.695 0.500 O
0.500 0.500 0.254 Cr
0.500 0.500 0.746 Cr
0.000 0.000 0.000 Ir
0.000 0.000 0.500 Fe


Question: Which value of M_tot does entry 1 give?
Answer: 5.3 μB per formula unit


Repeat the first record exactly.
PBE with a Hubbard U CrFeIrO6, relaxed; SG = P-31c (163); electronic total energy = -6.913 eV/atom; M_tot = 5.3 μB per formula unit
1.0
5.012 0.000 0.000
-2.506 4.340 0.000
0.000 0.000 8.863
Cr Fe O Ir
2 2 12 2
direct
0.333 0.667 0.250 Cr
0.667 0.333 0.750 Cr
0.000 0.000 0.500 Fe
0.000 0.000 0.000 Fe
0.995 0.339 0.128 O
0.656 0.661 0.628 O
0.661 0.656 0.128 O
0.005 0.661 0.872 O
0.344 0.005 0.128 O
0.344 0.339 0.372 O
0.656 0.995 0.872 O
0.005 0.344 0.628 O
0.339 0.344 0.872 O
0.995 0.656 0.372 O
0.339 0.995 0.628 O
0.661 0.005 0.372 O
0.333 0.667 0.750 Ir
0.667 0.333 0.250 Ir


Question: electronic total energy of number 1 (CrFeIrO6)?
Answer: -6.913 eV/atom


Question: Which of these has the lowest M_tot?
Answer: CrFeIrO6